<one>
# Sm2AgTe

A relaxed Sm2AgTe crystal (PBE, Alexandria via LeMat-Bulk).

Properties
Crystal system = trigonal
Symmetry = No. 166
V = 29.957 Å³ per atom

Geometry as CIF:
```
data_Sm2AgTe
_space_group_name_H-M_alt 'P 1'
_space_group_IT_number 1
_space_group_name_Hall 'P 1'
_cell_length_a 7.932
_cell_length_b 7.932
_cell_length_c 7.932
_cell_angle_alpha 31.34
_cell_angle_beta 31.34
_cell_angle_gamma 31.34
loop_
_atom_site_label
_atom_site_type_symbol
_atom_site_fract_x
_atom_site_fract_y
_atom_site_fract_z
Sm1 Sm 0.248 0.248 0.248
Sm2 Sm 0.752 0.752 0.752
Ag1 Ag 0.500 0.500 0.500
Te1 Te 0.000 0.000 0.000
```

=====

<two>
# Sm2AgTe

A relaxed Sm2AgTe crystal (PBE, Alexandria via LeMat-Bulk).

Properties
Crystal system = trigonal
Symmetry = No. 160
V = 30.313 Å³ per atom

Geometry as CIF:
```
data_Sm2AgTe
_space_group_name_H-M_alt 'P 1'
_space_group_IT_number 1
_space_group_name_Hall 'P 1'
_cell_length_a 8.037
_cell_length_b 8.037
_cell_length_c 8.037
_cell_angle_alpha 30.88
_cell_angle_beta 30.88
_cell_angle_gamma 30.88
loop_
_atom_site_label
_atom_site_type_symbol
_atom_site_fract_x
_atom_site_fract_y
_atom_site_fract_z
Sm1 Sm 0.000 0.000 0.000
Sm2 Sm 0.178 0.178 0.178
Ag1 Ag 0.590 0.590 0.590
Te1 Te 0.422 0.422 0.422
```

=====

The structure with the greatest stability is <one>.